# ZnIrAu3 PBE optimized geometry
# Energy relative to the elements   1092 meV per atom
# E   -2.9011 eV/atom
data_ZnIrAu3
_chemical_formula_sum 'Zn1 Ir1 Au3'
_cell_length_a 4.6704
_cell_length_b 4.6704
_cell_length_c 4.6704
_cell_angle_alpha 90.00
_cell_angle_beta 90.00
_cell_angle_gamma 90.00
_space_group_name_H-M_alt 'P 1'
_space_group_IT_number 1
_space_group_name_Hall 'P 1'
loop_
_atom_site_label
_atom_site_fract_x
_atom_site_fract_y
_atom_site_fract_z
Zn1 0.0000 0.0000 0.0000
Ir1 0.5000 0.5000 0.5000
Au1 0.0000 0.5000 0.0000
Au2 0.0000 0.0000 0.5000
Au3 0.5000 0.0000 0.0000